# 1
Material: Li2CaAg
Method: DFT, SCAN
State: single point on PBEsol structure

Lattice parameters (Å, degrees): 3.6111 4.9198 5.8610 115.69 107.94 90.00
Element x y z (fractional)
1 Ag 0.0000 0.5000 0.0000
2 Li 0.2842 0.2811 0.5683
3 Li 0.7158 0.7189 0.4317
4 Ca 0.5000 0.0000 0.0000

Energy of formation from the pure elements ... -140 meV per atom
Space-group type ... C2/m
Excess energy over the best structure of this formula in the dataset ... 20 meV per atom

# 2
Material: LiCa3Ag
Method: DFT, SCAN
State: single point on PBEsol structure

Lattice parameters (Å, degrees): 5.5816 5.5816 5.5816 90.00 90.00 90.00
Element x y z (fractional)
1 Li 0.0000 0.0000 0.0000
2 Ag 0.5000 0.5000 0.5000
3 Ca 0.5000 0.0000 0.0000
4 Ca 0.0000 0.5000 0.0000
5 Ca 0.0000 0.0000 0.5000

Energy of formation from the pure elements ... 415 meV per atom
Space-group type ... Pm-3m

# 3
Material: LiCaAg
Method: DFT, SCAN
State: single point on PBEsol structure

Lattice parameters (Å, degrees): 3.8894 4.5588 4.5588 120.00 90.00 90.00
Element x y z (fractional)
1 Ca 0.0000 0.3333 0.6667
2 Li 0.5000 0.6667 0.3333
3 Ag 0.5000 0.0000 0.0000

Energy of formation from the pure elements ... -198 meV per atom
Space-group type ... P-6m2
Excess energy over the best structure of this formula in the dataset ... 0 meV per atom

# 4
Material: Li2CaAg
Method: DFT, SCAN
State: single point on PBEsol structure

Lattice parameters (Å, degrees): 4.2548 4.3190 4.8775 90.00 90.00 90.00
Element x y z (fractional)
1 Li 0.0000 0.0000 0.0000
2 Li 0.5000 0.5000 0.0000
3 Ca 0.0000 0.5000 0.5000
4 Ag 0.5000 0.0000 0.5000

Energy of formation from the pure elements ... -89 meV per atom
Space-group type ... Pmmm
Excess energy over the best structure of this formula in the dataset ... 71 meV per atom

# 5
Material: Li2CaAg
Method: DFT, SCAN
State: single point on PBEsol structure

Lattice parameters (Å, degrees): 4.5807 4.5807 5.6374 66.03 66.03 60.00
Element x y z (fractional)
1 Ag 0.5471 0.5471 0.3586
2 Ca 0.7571 0.7571 0.7287
3 Li 0.2393 0.2393 0.2820
4 Li 0.9634 0.9634 0.1099

Energy of formation from the pure elements ... -159 meV per atom
Space-group type ... R3m
Excess energy over the best structure of this formula in the dataset ... 0 meV per atom

# 6
Material: Li2CaAg
Method: DFT, SCAN
State: single point on PBEsol structure

Lattice parameters (Å, degrees): 3.4972 4.9248 6.0513 113.22 105.73 92.51
Element x y z (fractional)
1 Ca 0.0000 0.5000 0.0000
2 Li 0.5000 0.5000 0.5000
3 Li 0.0000 0.0000 0.5000
4 Ag 0.5000 0.0000 0.0000

Energy of formation from the pure elements ... -1 meV per atom
Space-group type ... C2/m
Excess energy over the best structure of this formula in the dataset ... 159 meV per atom

# 7
Material: LiCa2Ag
Method: DFT, SCAN
State: single point on PBEsol structure

Lattice parameters (Å, degrees): 4.1707 4.5448 6.1361 90.00 109.87 90.00
Element x y z (fractional)
1 Ag 0.6839 0.5000 0.3678
2 Li 0.8134 0.0000 0.6268
3 Ca 0.1074 0.0000 0.2148
4 Ca 0.3982 0.5000 0.7965

Energy of formation from the pure elements ... -185 meV per atom
Space-group type ... Amm2
Excess energy over the best structure of this formula in the dataset ... 0 meV per atom

# 8
Material: Li2CaAg
Method: DFT, SCAN
State: single point on PBEsol structure

Lattice parameters (Å, degrees): 5.0153 4.9573 5.0153 59.61 90.00 120.39
Element x y z (fractional)
1 Ag 0.5000 0.0000 0.5000
2 Ca 0.7500 0.5000 0.7500
3 Li 0.2500 0.5000 0.2500
4 Li 0.0000 0.0000 0.0000

Energy of formation from the pure elements ... -124 meV per atom
Space-group type ... I-4m2
Excess energy over the best structure of this formula in the dataset ... 35 meV per atom